# CaCuTe, relaxed, DFT PBE
data_CaCuTe
_cell_length_a 4.142
_cell_length_b 4.142
_cell_length_c 8.904
_cell_angle_alpha 90.00
_cell_angle_beta 90.00
_cell_angle_gamma 90.00
_space_group_name_H-M_alt 'I 4 m m'
_space_group_IT_number 107
_space_group_name_Hall 'I 4 -2'
loop_
_atom_site_label
_atom_site_type_symbol
_atom_site_fract_x
_atom_site_fract_y
_atom_site_fract_z
Ca1 Ca 0.000 0.000 0.000
Cu1 Cu 0.000 0.000 0.340
Te1 Te 0.000 0.000 0.640
# ΔE to the lowest computed polymorph: 232 meV per atom
# Energy relative to the elements, uncorrected: -0.42 eV/atom
# Density of states at the Fermi level: 0.743 states/eV per atom

---

# Ca4CuTe, relaxed, DFT PBE
data_Ca4CuTe
_cell_length_a 9.402
_cell_length_b 9.402
_cell_length_c 9.402
_cell_angle_alpha 90.00
_cell_angle_beta 90.00
_cell_angle_gamma 90.00
_space_group_name_H-M_alt 'F -4 3 m'
_space_group_IT_number 216
_space_group_name_Hall 'F -4 2 3'
loop_
_atom_site_label
_atom_site_type_symbol
_atom_site_fract_x
_atom_site_fract_y
_atom_site_fract_z
Ca1 Ca 0.125 0.125 0.125
Cu1 Cu 0.250 0.250 0.750
Te1 Te 0.000 0.000 0.500
# Energy relative to the elements, uncorrected: 0.24 eV/atom
# Density of states at the Fermi level: 1.073 states/eV per atom

---

# Ca2Cu2Te, relaxed, DFT PBE
data_Ca2Cu2Te
_cell_length_a 7.493
_cell_length_b 7.493
_cell_length_c 4.119
_cell_angle_alpha 90.00
_cell_angle_beta 90.00
_cell_angle_gamma 90.00
_space_group_name_H-M_alt 'P 4/m b m'
_space_group_IT_number 127
_space_group_name_Hall '-P 4 2ab'
loop_
_atom_site_label
_atom_site_type_symbol
_atom_site_fract_x
_atom_site_fract_y
_atom_site_fract_z
Ca1 Ca 0.178 0.322 0.000
Cu1 Cu 0.113 0.613 0.500
Te1 Te 0.000 0.000 0.500
# ΔE to the lowest computed polymorph: 0 meV per atom
# Energy relative to the elements, uncorrected: -0.46 eV/atom
# Density of states at the Fermi level: 0.410 states/eV per atom

---

# Ca2CuTe, relaxed, DFT PBE
data_Ca2CuTe
_cell_length_a 5.176
_cell_length_b 5.176
_cell_length_c 3.952
_cell_angle_alpha 90.00
_cell_angle_beta 90.00
_cell_angle_gamma 90.00
_space_group_name_H-M_alt 'P 4/m m m'
_space_group_IT_number 123
_space_group_name_Hall '-P 4 2'
loop_
_atom_site_label
_atom_site_type_symbol
_atom_site_fract_x
_atom_site_fract_y
_atom_site_fract_z
Ca1 Ca 0.000 0.500 0.000
Cu1 Cu 0.000 0.000 0.500
Te1 Te 0.500 0.500 0.500
# Energy relative to the elements, uncorrected: -0.65 eV/atom
# Density of states at the Fermi level: 0.453 states/eV per atom

---

Respective E_tot values: -21.0 -55.3 -35.2 -13.8 eV/cell.